LaBH GGA-PBE relaxed; raw total energy = -5.42 eV per atom; DOS at the Fermi energy = 1.86 states/eV/f.u.; distance to the lowest polymorph of the same formula = 0 meV/atom; crystal system = orthorhombic
1.0
3.9221 0.0000 0.0000
0.0000 13.8774 0.0000
0.0000 0.0000 3.2625
La B H
4 4 4
Direct
0.0000 0.3666 0.2500
0.5000 0.8666 0.2500
0.0000 0.6334 0.7500
0.5000 0.1334 0.7500
0.5000 0.4850 0.7500
0.5000 0.5150 0.2500
0.0000 0.0150 0.2500
0.0000 0.9850 0.7500
0.0000 0.7615 0.2500
0.0000 0.2385 0.7500
0.5000 0.7385 0.7500
0.5000 0.2615 0.2500